This record from Alexandria describes a relaxed structure of MnCdTe2. The functional is PBE.

## Properties
**M_tot**: 11.868 μB/cell
**Theoretical density**: 6.3 g/cm3
**Raw formation energy**: 0.021 eV/atom
**Volume**: 335 Å³/cell

a b c (Å): 4.3107 4.3107 20.8086
angles (deg): 90.00 90.00 120.00
Space group R3m (No. 160, hexagonal axes)
Inequivalent atoms, fractional coordinates:
Mn 0.0000 0.0000 0.0000
Cd 0.0000 0.0000 0.2566
Te 0.0000 0.0000 0.5239
Te 0.0000 0.0000 0.7203